(1)
# Sn3AsRh

A geometry-optimized Sn3AsRh structure (GGA-PBE, Alexandria via LeMat-Bulk).

CIF file:
```
data_Sn3AsRh
_chemical_formula_sum 'Sn3 As1 Rh1'
_space_group_name_H-M_alt 'P 1'
_space_group_IT_number 1
_space_group_name_Hall 'P 1'
_cell_length_a 5.2473
_cell_length_b 5.2473
_cell_length_c 5.2473
_cell_angle_alpha 90.00
_cell_angle_beta 90.00
_cell_angle_gamma 90.00
loop_
_atom_site_label
_atom_site_fract_x
_atom_site_fract_y
_atom_site_fract_z
Sn1 0.0000 0.0000 0.5000
Sn2 0.0000 0.5000 0.0000
Sn3 0.5000 0.0000 0.0000
As1 0.0000 0.0000 0.0000
Rh1 0.5000 0.5000 0.5000
```

Results
Total energy in eV/atom: -3.861
Offset from the most stable computed form in eV/f.u.: 4.45
D(E_F) in states/eV/cell: 4.03
Crystal system: cubic
Formation enthalpy at 0 K in eV per atom: 0.940


(2)
# Zr2InNiI

A geometry-optimized Zr2InNiI structure (GGA-PBE, Alexandria via LeMat-Bulk).

CIF file:
```
data_Zr2InNiI
_chemical_formula_sum 'Zr2 In1 Ni1 I1'
_space_group_name_H-M_alt 'P 1'
_space_group_IT_number 1
_space_group_name_Hall 'P 1'
_cell_length_a 5.4512
_cell_length_b 5.4512
_cell_length_c 4.6187
_cell_angle_alpha 90.00
_cell_angle_beta 90.00
_cell_angle_gamma 90.00
loop_
_atom_site_label
_atom_site_fract_x
_atom_site_fract_y
_atom_site_fract_z
Zr1 0.0000 0.5000 0.0000
Zr2 0.5000 0.0000 0.0000
In1 0.0000 0.0000 0.0000
Ni1 0.0000 0.0000 0.5000
I1 0.5000 0.5000 0.5000
```

Results
Total energy in eV/atom: -4.547
D(E_F) in states/eV/cell: 6.23
Formation energy without anion corrections in eV/atom: 0.89
Crystal system: tetragonal


(3)
# SrLiMg2

A geometry-optimized SrLiMg2 structure (GGA-PBE, Alexandria via LeMat-Bulk).

CIF file:
```
data_SrLiMg2
_chemical_formula_sum 'Sr1 Li1 Mg2'
_space_group_name_H-M_alt 'P 1'
_space_group_IT_number 1
_space_group_name_Hall 'P 1'
_cell_length_a 3.6865
_cell_length_b 4.8469
_cell_length_c 6.9181
_cell_angle_alpha 90.00
_cell_angle_beta 105.36
_cell_angle_gamma 90.00
loop_
_atom_site_label
_atom_site_fract_x
_atom_site_fract_y
_atom_site_fract_z
Sr1 0.0000 0.0000 0.0000
Li1 0.6286 0.5000 0.2595
Mg1 0.3292 0.5000 0.6604
Mg2 0.7425 0.0000 0.4839
```

Results
Total energy in eV/atom: -1.647
Offset from the most stable computed form in eV/f.u.: 0.35
D(E_F) in states/eV/cell: 2.99
Crystal system: monoclinic
Formation enthalpy at 0 K in eV per atom: 0.049


(4)
# BaFeTc3

A geometry-optimized BaFeTc3 structure (GGA-PBE, Alexandria via LeMat-Bulk).

CIF file:
```
data_BaFeTc3
_chemical_formula_sum 'Ba1 Fe1 Tc3'
_space_group_name_H-M_alt 'P 1'
_space_group_IT_number 1
_space_group_name_Hall 'P 1'
_cell_length_a 4.6369
_cell_length_b 4.6369
_cell_length_c 4.6369
_cell_angle_alpha 90.00
_cell_angle_beta 90.00
_cell_angle_gamma 90.00
loop_
_atom_site_label
_atom_site_fract_x
_atom_site_fract_y
_atom_site_fract_z
Ba1 0.0000 0.0000 0.0000
Fe1 0.5000 0.5000 0.5000
Tc1 0.0000 0.5000 0.5000
Tc2 0.5000 0.0000 0.5000
Tc3 0.5000 0.5000 0.0000
```

Results
Total energy in eV/atom: -7.108
Offset from the most stable computed form in eV/f.u.: 0.00
D(E_F) in states/eV/cell: 9.06
Crystal system: cubic
Formation enthalpy at 0 K in eV per atom: 1.189


(5)
# TlCdNi2

A geometry-optimized TlCdNi2 structure (GGA-PBE, Alexandria via LeMat-Bulk).

CIF file:
```
data_TlCdNi2
_chemical_formula_sum 'Tl1 Cd1 Ni2'
_space_group_name_H-M_alt 'P 1'
_space_group_IT_number 1
_space_group_name_Hall 'P 1'
_cell_length_a 3.2118
_cell_length_b 3.2246
_cell_length_c 6.2122
_cell_angle_alpha 90.00
_cell_angle_beta 90.10
_cell_angle_gamma 90.00
loop_
_atom_site_label
_atom_site_fract_x
_atom_site_fract_y
_atom_site_fract_z
Tl1 0.0000 0.0000 0.0000
Cd1 0.0000 0.0000 0.5000
Ni1 0.4997 0.5000 0.2497
Ni2 0.5003 0.5000 0.7503
```

Results
Total energy in eV/atom: -3.509
D(E_F) in states/eV/cell: 3.06
Crystal system: monoclinic
Formation enthalpy at 0 K in eV per atom: 0.202


(6)
# ScAg4Pb

A geometry-optimized ScAg4Pb structure (GGA-PBE, Alexandria via LeMat-Bulk).

CIF file:
```
data_ScAg4Pb
_chemical_formula_sum 'Sc1 Ag4 Pb1'
_space_group_name_H-M_alt 'P 1'
_space_group_IT_number 1
_space_group_name_Hall 'P 1'
_cell_length_a 5.6087
_cell_length_b 5.6087
_cell_length_c 5.6087
_cell_angle_alpha 60.00
_cell_angle_beta 60.00
_cell_angle_gamma 60.00
loop_
_atom_site_label
_atom_site_fract_x
_atom_site_fract_y
_atom_site_fract_z
Sc1 0.0000 0.0000 0.0000
Ag1 0.1234 0.6255 0.6255
Ag2 0.6255 0.1234 0.6255
Ag3 0.6255 0.6255 0.1234
Ag4 0.6255 0.6255 0.6255
Pb1 0.2500 0.2500 0.2500
```

Results
Total energy in eV/atom: -3.617
D(E_F) in states/eV/cell: 4.30
Crystal system: cubic
Formation enthalpy at 0 K in eV per atom: -0.043


(7)
# K2MnBe

A geometry-optimized K2MnBe structure (GGA-PBE, Alexandria via LeMat-Bulk).

CIF file:
```
data_K2MnBe
_chemical_formula_sum 'K4 Mn2 Be2'
_space_group_name_H-M_alt 'P 1'
_space_group_IT_number 1
_space_group_name_Hall 'P 1'
_cell_length_a 4.6695
_cell_length_b 4.6695
_cell_length_c 10.8938
_cell_angle_alpha 90.00
_cell_angle_beta 90.00
_cell_angle_gamma 90.00
loop_
_atom_site_label
_atom_site_fract_x
_atom_site_fract_y
_atom_site_fract_z
K1 0.0000 0.5000 0.2500
K2 0.0000 0.5000 0.7500
K3 0.5000 0.0000 0.2500
K4 0.5000 0.0000 0.7500
Mn1 0.0000 0.0000 0.0000
Mn2 0.5000 0.5000 0.5000
Be1 0.0000 0.0000 0.5000
Be2 0.5000 0.5000 0.0000
```

Results
Total energy in eV/atom: -2.603
D(E_F) in states/eV/cell: 8.46
Crystal system: tetragonal
Formation enthalpy at 0 K in eV per atom: 1.169


(8)
# Tb3Y4Er4

A geometry-optimized Tb3Y4Er4 structure (GGA-PBE, Alexandria via LeMat-Bulk).

CIF file:
```
data_Tb3Y4Er4
_chemical_formula_sum 'Tb3 Y4 Er4'
_space_group_name_H-M_alt 'P 1'
_space_group_IT_number 1
_space_group_name_Hall 'P 1'
_cell_length_a 3.4836
_cell_length_b 5.6067
_cell_length_c 18.0795
_cell_angle_alpha 81.11
_cell_angle_beta 84.49
_cell_angle_gamma 89.99
loop_
_atom_site_label
_atom_site_fract_x
_atom_site_fract_y
_atom_site_fract_z
Tb1 0.0000 0.0000 0.0000
Tb2 0.1363 0.6363 0.7270
Tb3 0.8637 0.3637 0.2730
Y1 0.2668 0.2671 0.4659
Y2 0.4094 0.9101 0.1808
Y3 0.5906 0.0899 0.8192
Y4 0.7332 0.7329 0.5341
Er1 0.3198 0.8195 0.3611
Er2 0.4549 0.4549 0.0910
Er3 0.5451 0.5451 0.9090
Er4 0.6802 0.1805 0.6389
```

Results
Total energy in eV/atom: -5.210
Offset from the most stable computed form in eV/f.u.: 0.45
D(E_F) in states/eV/cell: 19.96
Crystal system: triclinic
Formation enthalpy at 0 K in eV per atom: 0.063


(9)
# TaOs2Pt

A geometry-optimized TaOs2Pt structure (GGA-PBE, Alexandria via LeMat-Bulk).

CIF file:
```
data_TaOs2Pt
_chemical_formula_sum 'Ta1 Os2 Pt1'
_space_group_name_H-M_alt 'P 1'
_space_group_IT_number 1
_space_group_name_Hall 'P 1'
_cell_length_a 2.8047
_cell_length_b 3.9147
_cell_length_c 5.6534
_cell_angle_alpha 90.00
_cell_angle_beta 90.00
_cell_angle_gamma 90.00
loop_
_atom_site_label
_atom_site_fract_x
_atom_site_fract_y
_atom_site_fract_z
Ta1 0.0000 0.0000 0.0000
Os1 0.0000 0.0000 0.4706
Os2 0.5000 0.5000 0.2690
Pt1 0.5000 0.5000 0.7455
```

Results
Total energy in eV/atom: -10.330
Offset from the most stable computed form in eV/f.u.: 0.48
D(E_F) in states/eV/cell: 2.59
Crystal system: orthorhombic
Formation enthalpy at 0 K in eV per atom: -0.242


(10)
# Sc2Pt2Rh

A geometry-optimized Sc2Pt2Rh structure (GGA-PBE, Alexandria via LeMat-Bulk).

CIF file:
```
data_Sc2Pt2Rh
_chemical_formula_sum 'Sc4 Pt4 Rh2'
_space_group_name_H-M_alt 'P 1'
_space_group_IT_number 1
_space_group_name_Hall 'P 1'
_cell_length_a 7.2796
_cell_length_b 7.2796
_cell_length_c 3.3834
_cell_angle_alpha 90.00
_cell_angle_beta 90.00
_cell_angle_gamma 90.00
loop_
_atom_site_label
_atom_site_fract_x
_atom_site_fract_y
_atom_site_fract_z
Sc1 0.1717 0.3283 0.0000
Sc2 0.3283 0.8283 0.0000
Sc3 0.6717 0.1717 0.0000
Sc4 0.8283 0.6717 0.0000
Pt1 0.1324 0.6324 0.5000
Pt2 0.3676 0.1324 0.5000
Pt3 0.6324 0.8676 0.5000
Pt4 0.8676 0.3676 0.5000
Rh1 0.0000 0.0000 0.5000
Rh2 0.5000 0.5000 0.5000
```

Results
Total energy in eV/atom: -7.345
Offset from the most stable computed form in eV/f.u.: 0.00
D(E_F) in states/eV/cell: 8.38
Crystal system: tetragonal
Formation enthalpy at 0 K in eV per atom: -0.926


(11)
# NaHoSn3

A geometry-optimized NaHoSn3 structure (GGA-PBE, Alexandria via LeMat-Bulk).

CIF file:
```
data_NaHoSn3
_chemical_formula_sum 'Na4 Ho4 Sn12'
_space_group_name_H-M_alt 'P 1'
_space_group_IT_number 1
_space_group_name_Hall 'P 1'
_cell_length_a 13.7997
_cell_length_b 6.2185
_cell_length_c 6.2819
_cell_angle_alpha 90.00
_cell_angle_beta 90.00
_cell_angle_gamma 90.00
loop_
_atom_site_label
_atom_site_fract_x
_atom_site_fract_y
_atom_site_fract_z
Na1 0.0985 0.2500 0.0000
Na2 0.0985 0.2500 0.5000
Na3 0.9015 0.7500 0.0000
Na4 0.9015 0.7500 0.5000
Ho1 0.3219 0.0041 0.2500
Ho2 0.3219 0.4959 0.7500
Ho3 0.6781 0.5041 0.2500
Ho4 0.6781 0.9959 0.7500
Sn1 0.1143 0.7186 0.7500
Sn2 0.1143 0.7814 0.2500
Sn3 0.2886 0.0058 0.7500
Sn4 0.2886 0.4942 0.2500
Sn5 0.4949 0.7500 0.0000
Sn6 0.4949 0.7500 0.5000
Sn7 0.5051 0.2500 0.0000
Sn8 0.5051 0.2500 0.5000
Sn9 0.7114 0.5058 0.7500
Sn10 0.7114 0.9942 0.2500
Sn11 0.8857 0.2186 0.7500
Sn12 0.8857 0.2814 0.2500
```

Results
Total energy in eV/atom: -3.918
D(E_F) in states/eV/cell: 9.09
Crystal system: orthorhombic
Formation enthalpy at 0 K in eV per atom: -0.337


(12)
# GaSbC2

A geometry-optimized GaSbC2 structure (GGA-PBE, Alexandria via LeMat-Bulk).

CIF file:
```
data_GaSbC2
_chemical_formula_sum 'Ga4 Sb4 C8'
_space_group_name_H-M_alt 'P 1'
_space_group_IT_number 1
_space_group_name_Hall 'P 1'
_cell_length_a 5.9458
_cell_length_b 5.9458
_cell_length_c 5.9458
_cell_angle_alpha 90.00
_cell_angle_beta 90.00
_cell_angle_gamma 90.00
loop_
_atom_site_label
_atom_site_fract_x
_atom_site_fract_y
_atom_site_fract_z
Ga1 0.0000 0.0000 0.0000
Ga2 0.0000 0.5000 0.5000
Ga3 0.5000 0.0000 0.5000
Ga4 0.5000 0.5000 0.0000
Sb1 0.0000 0.0000 0.5000
Sb2 0.0000 0.5000 0.0000
Sb3 0.5000 0.0000 0.0000
Sb4 0.5000 0.5000 0.5000
C1 0.2500 0.2500 0.2500
C2 0.2500 0.2500 0.7500
C3 0.2500 0.7500 0.2500
C4 0.2500 0.7500 0.7500
C5 0.7500 0.2500 0.2500
C6 0.7500 0.2500 0.7500
C7 0.7500 0.7500 0.2500
C8 0.7500 0.7500 0.7500
```

Results
Total energy in eV/atom: -4.321
Offset from the most stable computed form in eV/f.u.: 5.32
D(E_F) in states/eV/cell: 7.78
Formation energy without anion corrections in eV/atom: 2.08
Crystal system: cubic